1.
TaAgSn | PBE-GGA | optimized geometry

## Properties
Energy of formation from the pure elements: 0.394 eV per atom

Cell lengths 5.766, 5.769, 5.445 Å; angles 74.66, 58.03, 60.02 degrees
Atoms (fractional coordinates):
Sn (0.295, 0.000, 0.409)
Ta (0.750, 0.500, 0.500)
Ta (0.250, 0.500, 0.500)
Sn (0.705, 0.000, 0.591)
Ag (0.152, 0.696, 0.000)
Ag (0.848, 0.304, 0.000)

2.
Ba2AlTlPt | PBE-GGA | optimized geometry

## Properties
Energy of formation from the pure elements: -0.466 eV per atom

Cell lengths 6.227, 6.227, 4.808 Å; angles 90.00, 90.00, 90.00 degrees
Atoms (fractional coordinates):
Pt (0.000, 0.000, 0.000)
Tl (0.500, 0.500, 0.500)
Ba (0.500, 0.000, 0.000)
Al (0.000, 0.000, 0.500)
Ba (0.000, 0.500, 0.000)

3.
DyPu2Pd3 | PBE-GGA | optimized geometry

## Properties
Energy of formation from the pure elements: -0.565 eV per atom

Cell lengths 3.465, 3.465, 10.868 Å; angles 90.00, 90.00, 90.00 degrees
Site moments in Bohr magnetons follow the coordinates.
Atoms (fractional coordinates):
Pu (0.500, 0.500, 0.166)  5.37
Pd (0.000, 0.000, 0.000)  -0.04
Pd (0.000, 0.000, 0.655)  0.01
Dy (0.500, 0.500, 0.500)  0.06
Pd (0.000, 0.000, 0.345)  0.01
Pu (0.500, 0.500, 0.834)  5.37

4.
KMnCu3 | PBE-GGA | optimized geometry

## Properties
Energy of formation from the pure elements: 1.819 eV per atom

Cell lengths 4.948, 4.948, 4.948 Å; angles 90.00, 90.00, 90.00 degrees
Site moments in Bohr magnetons follow the coordinates.
Atoms (fractional coordinates):
Cu (0.000, 0.500, 0.000)  -0.04
K (0.000, 0.000, 0.000)  -0.03
Mn (0.500, 0.500, 0.500)  4.38
Cu (0.000, 0.000, 0.500)  -0.02
Cu (0.500, 0.000, 0.000)  -0.01

5.
Sc6Cd2Ni | PBE-GGA | optimized geometry

## Properties
Energy of formation from the pure elements: -0.223 eV per atom

Cell lengths 3.409, 8.228, 8.232 Å; angles 119.98, 90.00, 90.00 degrees
Site moments in Bohr magnetons follow the coordinates.
Atoms (fractional coordinates):
Sc (0.500, 0.607, 0.000)  0.26
Sc (0.000, 0.239, 0.000)  0.19
Cd (0.000, 0.334, 0.667)  0.01
Sc (0.500, 0.000, 0.607)  0.26
Sc (0.000, 0.000, 0.240)  0.19
Cd (0.000, 0.667, 0.333)  0.01
Sc (0.500, 0.393, 0.393)  0.26
Ni (0.500, 0.000, 0.000)  0.05
Sc (0.000, 0.760, 0.760)  0.19

6.
Cs2NpSc2Te6 | PBE-GGA | optimized geometry

## Properties
Formation energy from raw total energies: -1090 meV per atom

Cell lengths 7.478, 7.478, 9.482 Å; angles 97.41, 97.41, 120.24 degrees
Site moments in Bohr magnetons follow the coordinates.
Atoms (fractional coordinates):
Cs (0.835, 0.165, 0.000)  0.00
Te (0.403, 0.062, 0.683)  -0.06
Te (0.938, 0.597, 0.317)  -0.06
Te (0.715, 0.715, 0.682)  -0.06
Np (0.000, 0.000, 0.500)  3.49
Te (0.597, 0.938, 0.317)  -0.06
Te (0.285, 0.285, 0.318)  -0.06
Sc (0.668, 0.332, 0.500)  0.00
Sc (0.332, 0.668, 0.500)  0.00
Cs (0.165, 0.835, 0.000)  0.00
Te (0.062, 0.403, 0.683)  -0.06

Number 1: calculated density 10.17 g cm⁻³, M_tot 0.0 μB per formula unit, DOS(E_F) 0.69 states/eV/atom. Number 2: calculated density 6.24 g cm⁻³, M_tot 0.0 μB per formula unit, DOS(E_F) 1.02 states/eV/atom. Number 3: calculated density 12.34 g cm⁻³, M_tot 11.4 μB per formula unit, DOS(E_F) 3.27 states/eV/atom. Number 4: calculated density 3.90 g cm⁻³, M_tot 4.4 μB per formula unit, DOS(E_F) 0.48 states/eV/atom. Number 5: calculated density 4.59 g cm⁻³, M_tot 2.5 μB per formula unit, DOS(E_F) 1.38 states/eV/atom. Number 6: calculated density 5.10 g cm⁻³, M_tot 3.0 μB per formula unit, DOS(E_F) 0.37 states/eV/atom.